Zr2AlAs at its PBEsol-relaxed geometry. Source: the Alexandria database, functional SCAN.

Values from the calculation:
- Energy: -23.22 eV/atom
- Offset from the most stable computed form: 0.00 kcal/mol of atoms
- Total magnetic moment: 0.00 μB/f.u.
- DFT formation energy: -3.530 eV per formula unit

```
data_Zr2AlAs
_chemical_formula_sum 'Zr4 Al2 As2'
_space_group_name_H-M_alt 'A m m 2'
_space_group_IT_number 38
_space_group_name_Hall 'A 2 -2'
_cell_length_a 3.8740
_cell_length_b 3.7498
_cell_length_c 10.1419
_cell_angle_alpha 90.00
_cell_angle_beta 90.00
_cell_angle_gamma 90.00
loop_
_atom_site_label
_atom_site_type_symbol
_atom_site_fract_x
_atom_site_fract_y
_atom_site_fract_z
_atom_site_occupancy
Zr1 Zr 0.0000 0.0000 0.0000 1
Zr2 Zr 0.5000 0.0000 0.2940 1
Al1 Al 0.0000 0.0000 0.7326 1
As1 As 0.5000 0.0000 0.5684 1
```


ZrAl2As at its PBEsol-relaxed geometry. Source: the Alexandria database, functional SCAN.

Values from the calculation:
- Energy: -17.03 eV/atom
- Total magnetic moment: 0.00 μB/f.u.
- DFT formation energy: -1.707 eV per formula unit

```
data_ZrAl2As
_chemical_formula_sum 'Zr2 Al4 As2'
_space_group_name_H-M_alt 'I m m 2'
_space_group_IT_number 44
_space_group_name_Hall 'I 2 -2'
_cell_length_a 3.9453
_cell_length_b 4.1109
_cell_length_c 8.5553
_cell_angle_alpha 90.00
_cell_angle_beta 90.00
_cell_angle_gamma 90.00
loop_
_atom_site_label
_atom_site_type_symbol
_atom_site_fract_x
_atom_site_fract_y
_atom_site_fract_z
_atom_site_occupancy
Zr1 Zr 0.0000 0.0000 0.0000 1
Al1 Al 0.0000 0.0000 0.4988 1
Al2 Al 0.0000 0.5000 0.7525 1
As1 As 0.0000 0.5000 0.2514 1
```


> Which value of DFT formation energy does entry 2 give?

-1.707 eV per formula unit


> The lowest DFT formation energy belongs to which entry?

Zr2AlAs


> What is the formula in the first record?

Zr2AlAs